(1)
The following is a DFT calculation (PBE-GGA) of K4GeSe4 after structural relaxation.

a = 13.4669 Å, b = 13.4669 Å, c = 13.4669 Å
α = 90.00°, β = 90.00°, γ = 90.00°
Closest atoms and distances in Å follow each position.
Sites, in units of the cell vectors:
K (0.0889, 0.1317, 0.6489)  6 Se 3.35-3.53, 1 Ge 3.45
K (0.0889, 0.8683, 0.3511)  6 Se 3.35-3.53, 1 Ge 3.45
K (0.1317, 0.3511, 0.9111)  6 Se 3.35-3.53, 1 Ge 3.45
K (0.1317, 0.6489, 0.0889)  6 Se 3.35-3.53, 1 Ge 3.45
K (0.1493, 0.1493, 0.1493)  6 Se 3.44-3.51, 1 Ge 3.48
K (0.1489, 0.3683, 0.4111)  6 Se 3.35-3.53, 1 Ge 3.45
K (0.1489, 0.6317, 0.5889)  6 Se 3.35-3.53, 1 Ge 3.45
K (0.1493, 0.8507, 0.8507)  6 Se 3.44-3.51, 1 Ge 3.48
K (0.3511, 0.0889, 0.8683)  6 Se 3.35-3.53, 1 Ge 3.45
K (0.3507, 0.3507, 0.6493)  6 Se 3.44-3.51, 1 Ge 3.48
K (0.3507, 0.6493, 0.3507)  6 Se 3.44-3.51, 1 Ge 3.48
K (0.3511, 0.9111, 0.1317)  6 Se 3.35-3.53, 1 Ge 3.45
K (0.3683, 0.4111, 0.1489)  6 Se 3.35-3.53, 1 Ge 3.45
K (0.3683, 0.5889, 0.8511)  6 Se 3.35-3.53, 1 Ge 3.45
K (0.4111, 0.1489, 0.3683)  6 Se 3.35-3.53, 1 Ge 3.45
K (0.4111, 0.8511, 0.6317)  6 Se 3.35-3.53, 1 Ge 3.45
K (0.5889, 0.1489, 0.6317)  6 Se 3.35-3.53, 1 Ge 3.45
K (0.5889, 0.8511, 0.3683)  6 Se 3.35-3.53, 1 Ge 3.45
K (0.6317, 0.4111, 0.8511)  6 Se 3.35-3.53, 1 Ge 3.45
K (0.6317, 0.5889, 0.1489)  6 Se 3.35-3.53, 1 Ge 3.45
K (0.6489, 0.0889, 0.1317)  6 Se 3.35-3.53, 1 Ge 3.45
K (0.6493, 0.3507, 0.3507)  6 Se 3.44-3.51, 1 Ge 3.48
K (0.6493, 0.6493, 0.6493)  6 Se 3.44-3.51, 1 Ge 3.48
K (0.6489, 0.9111, 0.8683)  6 Se 3.35-3.53, 1 Ge 3.45
K (0.8507, 0.1493, 0.8507)  6 Se 3.44-3.51, 1 Ge 3.48
K (0.8511, 0.3683, 0.5889)  6 Se 3.35-3.53, 1 Ge 3.45
K (0.8511, 0.6317, 0.4111)  6 Se 3.35-3.53, 1 Ge 3.45
K (0.8507, 0.8507, 0.1493)  6 Se 3.44-3.51, 1 Ge 3.48
K (0.8683, 0.3511, 0.0889)  6 Se 3.35-3.53, 1 Ge 3.45
K (0.8683, 0.6489, 0.9111)  6 Se 3.35-3.53, 1 Ge 3.45
K (0.9111, 0.1317, 0.3511)  6 Se 3.35-3.53, 1 Ge 3.45
K (0.9111, 0.8683, 0.6489)  6 Se 3.35-3.53, 1 Ge 3.45
Ge (0.0000, 0.0000, 0.0000)  4 Se 2.39
Ge (0.0000, 0.5000, 0.2500)  4 Se 2.40
Ge (0.0000, 0.5000, 0.7500)  4 Se 2.40
Ge (0.2500, 0.0000, 0.5000)  4 Se 2.40
Ge (0.5000, 0.2500, 0.0000)  4 Se 2.40
Ge (0.5000, 0.5000, 0.5000)  4 Se 2.39
Ge (0.5000, 0.7500, 0.0000)  4 Se 2.40
Ge (0.7500, 0.0000, 0.5000)  4 Se 2.40
Se (0.0975, 0.3865, 0.6536)  1 Ge 2.40
Se (0.0975, 0.6135, 0.3464)  1 Ge 2.40
Se (0.1025, 0.1025, 0.8975)  1 Ge 2.39
Se (0.1025, 0.8975, 0.1025)  1 Ge 2.39
Se (0.1135, 0.4025, 0.1536)  1 Ge 2.40
Se (0.1135, 0.5975, 0.8464)  1 Ge 2.40
Se (0.1536, 0.1135, 0.4025)  1 Ge 2.40
Se (0.1536, 0.8865, 0.5975)  1 Ge 2.40
Se (0.3464, 0.0975, 0.6135)  1 Ge 2.40
Se (0.3464, 0.9025, 0.3865)  1 Ge 2.40
Se (0.3865, 0.3464, 0.9025)  1 Ge 2.40
Se (0.3865, 0.6536, 0.0975)  1 Ge 2.40
Se (0.3975, 0.3975, 0.3975)  1 Ge 2.39
Se (0.3975, 0.6025, 0.6025)  1 Ge 2.39
Se (0.4025, 0.1536, 0.1135)  1 Ge 2.40
Se (0.4025, 0.8464, 0.8865)  1 Ge 2.40
Se (0.5975, 0.1536, 0.8865)  1 Ge 2.40
Se (0.5975, 0.8464, 0.1135)  1 Ge 2.40
Se (0.6025, 0.3975, 0.6025)  1 Ge 2.39
Se (0.6025, 0.6025, 0.3975)  1 Ge 2.39
Se (0.6135, 0.3464, 0.0975)  1 Ge 2.40
Se (0.6135, 0.6536, 0.9025)  1 Ge 2.40
Se (0.6536, 0.0975, 0.3865)  1 Ge 2.40
Se (0.6536, 0.9025, 0.6135)  1 Ge 2.40
Se (0.8464, 0.1135, 0.5975)  1 Ge 2.40
Se (0.8464, 0.8865, 0.4025)  1 Ge 2.40
Se (0.8865, 0.4025, 0.8464)  1 Ge 2.40
Se (0.8865, 0.5975, 0.1536)  1 Ge 2.40
Se (0.8975, 0.1025, 0.1025)  1 Ge 2.39
Se (0.8975, 0.8975, 0.8975)  1 Ge 2.39
Se (0.9025, 0.3865, 0.3464)  1 Ge 2.40
Se (0.9025, 0.6135, 0.6536)  1 Ge 2.40

Values from the calculation:
Formation energy from raw total energies ... -9.21 eV/f.u.
Spin magnetization ... 0.000 μB/f.u.
Final energy ... -3.573 eV/atom

=====

(2)
The following is a DFT calculation (PBE-GGA) of LiZnCu2 after structural relaxation.

a = 4.9106 Å, b = 4.9106 Å, c = 2.5124 Å
α = 99.82°, β = 99.82°, γ = 116.54°
Closest atoms and distances in Å follow each position.
Sites, in units of the cell vectors:
Li (0.0000, 0.0000, 0.0000)  2 Li 2.51, 4 Cu 2.56, 2 Zn 2.58
Zn (0.5000, 0.5000, 0.0000)  2 Zn 2.51, 4 Cu 2.56, 2 Li 2.58
Cu (0.0000, 0.5000, 0.5000)  4 Cu 2.51-2.58, 2 Zn 2.56, 2 Li 2.56
Cu (0.5000, 0.0000, 0.5000)  4 Cu 2.51-2.58, 2 Zn 2.56, 2 Li 2.56

Values from the calculation:
Spin magnetization ... 0.000 μB/f.u.
Final energy ... -2.909 eV/atom
Formation enthalpy at 0 K ... -0.064 eV/atom

=====

(3)
The following is a DFT calculation (PBE-GGA) of BaCuIr2 after structural relaxation.

a = 3.1684 Å, b = 3.1684 Å, c = 7.6616 Å
α = 90.00°, β = 90.00°, γ = 90.00°
Closest atoms and distances in Å follow each position.
Sites, in units of the cell vectors:
Ba (0.0000, 0.0000, 0.0000)  4 Ba 3.17, 8 Ir 3.35
Cu (0.0000, 0.0000, 0.5000)  8 Ir 2.61
Ir (0.5000, 0.5000, 0.3254)  4 Cu 2.61, 1 Ir 2.67
Ir (0.5000, 0.5000, 0.6746)  4 Cu 2.61, 1 Ir 2.67

Values from the calculation:
Spin magnetization ... 0.819 μB/f.u.
Final energy ... -5.376 eV/atom
Formation enthalpy at 0 K ... 0.559 eV/atom